<1>
Entry from Alexandria via LeMat-Bulk: an optimized crystal structure of Li4Ru5 (GGA-PBE).

Calculated values
Crystal system = tetragonal
Calculated volume = 13.25 Å³/atom
Symmetry = I4/mmm (139)

```
9
Lattice="0.3244 1.1856 5.7563 -3.8907 -0.8671 -4.3309 1.7459 -5.6062 0.4112" Properties=species:S:1:pos:R:3 pbc="T T T"
Ru -1.7955 -1.6443 1.0849
Ru 0.0000 0.0000 0.0000
Ru -1.0853 0.4991 2.3828
Ru -2.4810 -0.1806 -0.9574
Ru -0.0249 -3.6433 0.7518
Li 0.6826 -1.4576 2.0337
Li 1.3877 -2.9630 4.1339
Li -1.4376 -4.3388 -2.6272
Li -0.7072 -2.1344 -1.2925
```

---

<2>
Entry from Alexandria via LeMat-Bulk: an optimized crystal structure of Li4Ru5 (GGA-PBE).

Calculated values
Crystal system = hexagonal
Calculated volume = 14.20 Å³/atom
Symmetry = P6_3/mcm (193)

```
18
Lattice="7.6028 0.0000 0.0000 -3.8014 6.5842 0.0000 0.0000 0.0000 5.1070" Properties=species:S:1:pos:R:3 pbc="T T T"
Li 2.0907 0.0000 1.2767
Li 0.0000 0.0000 0.0000
Li 2.7560 4.7735 1.2767
Li -1.0454 1.8106 1.2767
Li 1.0454 1.8106 3.8302
Li -2.7560 4.7735 3.8302
Li 0.0000 0.0000 2.5535
Li 5.5120 0.0000 3.8302
Ru 3.1475 0.0000 3.8302
Ru 0.0000 4.3895 2.5535
Ru 1.5738 2.7258 1.2767
Ru 2.2276 3.8584 3.8302
Ru 0.0000 4.3895 0.0000
Ru -1.5738 2.7258 3.8302
Ru 3.8014 2.1947 2.5535
Ru -2.2276 3.8584 1.2767
Ru 4.4552 0.0000 1.2767
Ru 3.8014 2.1947 0.0000
```

---

<1> comes first in stability; the runner-up is 17.4 kJ/mol of atoms higher.

---

<1>
Entry from Alexandria via LeMat-Bulk: an optimized crystal structure of Li2Ru2S (GGA-PBE).

Calculated values
Crystal system = tetragonal
Calculated volume = 17.58 Å³/atom
Symmetry = I4/mmm (139)

```
5
Lattice="-2.5554 -0.8576 2.0244 0.6549 -3.2600 -0.5543 3.8657 -2.1206 6.7881" Properties=species:S:1:pos:R:3 pbc="T T T"
Ru 0.1800 -2.5185 4.7737
Ru 1.7852 -3.7197 3.4844
Li 2.1083 -4.1691 6.5086
Li -0.1431 -2.0692 1.7495
S 0.0000 0.0000 0.0000
```

---

<2>
Entry from Alexandria via LeMat-Bulk: an optimized crystal structure of Li2Ru2S (GGA-PBE).

Calculated values
Crystal system = tetragonal
Calculated volume = 11.94 Å³/atom
Symmetry = P4/mbm (127)

```
10
Lattice="-4.1580 -3.0207 2.2899 3.3768 -4.4960 0.2007 1.1547 1.0210 3.4434" Properties=species:S:1:pos:R:3 pbc="T T T"
Li 1.3984 -5.0387 1.0250
Li 0.7184 -2.0581 0.3693
Li -2.1796 -2.4780 1.4656
Li -1.4996 -5.4587 2.1213
Ru 2.1220 -3.1210 2.2805
Ru -1.7485 -3.3748 3.6536
Ru 0.4884 -5.2244 3.4519
Ru -0.1149 -1.2714 2.4821
S 0.0000 0.0000 0.0000
S -0.3906 -3.7584 1.2453
```

---

<1> comes first in stability; the runner-up is 11.8 kJ/mol of atoms higher.

---

<1>
Entry from Alexandria via LeMat-Bulk: an optimized crystal structure of LiRuS3 (GGA-PBE).

Calculated values
Crystal system = cubic
Calculated volume = 15.24 Å³/atom
Symmetry = Pm-3m (221)

```
5
Lattice="4.2391 0.0000 0.0000 0.0000 4.2391 0.0000 0.0000 0.0000 4.2391" Properties=species:S:1:pos:R:3 pbc="T T T"
Li 0.0000 0.0000 0.0000
S 0.0000 2.1196 0.0000
S 0.0000 0.0000 2.1196
S 2.1196 0.0000 0.0000
Ru 2.1196 2.1196 2.1196
```

---

<2>
Entry from Alexandria via LeMat-Bulk: an optimized crystal structure of LiRuS3 (GGA-PBE).

Calculated values
Crystal system = cubic
Calculated volume = 20.56 Å³/atom
Symmetry = Pm-3m (221)

```
5
Lattice="-1.2169 2.1030 4.0049 -4.1170 -2.2331 -0.0783 1.8741 -3.5402 2.4285" Properties=species:S:1:pos:R:3 pbc="T T T"
Ru 0.0000 0.0000 0.0000
S -0.6085 1.0515 2.0024
S -2.0585 -1.1166 -0.0392
S 0.9370 -1.7701 1.2142
Li -1.7299 -1.8351 3.1775
```

---

<2> comes first in stability; the runner-up is 76.0 kJ/mol of atoms higher.

---

<1>
Entry from Alexandria via LeMat-Bulk: an optimized crystal structure of Li2ScRu (GGA-PBE).

Calculated values
Crystal system = orthorhombic
Calculated volume = 16.23 Å³/atom
Symmetry = Cmmm (65)

```
4
Lattice="5.2615 -0.0047 0.0000 -2.7666 4.4754 0.0000 0.0000 0.0000 2.7593" Properties=species:S:1:pos:R:3 pbc="T T T"
Ru 2.6307 -0.0024 1.3796
Li 0.0000 0.0000 0.0000
Li 1.2474 2.2353 0.0000
Sc -1.3833 2.2377 1.3796
```

---

<2>
Entry from Alexandria via LeMat-Bulk: an optimized crystal structure of Li2ScRu (GGA-PBE).

Calculated values
Crystal system = cubic
Calculated volume = 14.76 Å³/atom
Symmetry = Fm-3m (225)

```
4
Lattice="-0.6946 -3.0326 -3.0704 -3.0613 0.6423 -3.0533 1.1706 0.7732 -4.1399" Properties=species:S:1:pos:R:3 pbc="T T T"
Ru -1.2927 -0.8086 -5.1318
Li -1.9390 -1.2129 -7.6977
Li -0.6463 -0.4043 -2.5659
Sc 0.0000 0.0000 0.0000
```

---

<2> comes first in stability; the runner-up is 7.4 kJ/mol of atoms higher.

---

<1>
Entry from Alexandria via LeMat-Bulk: an optimized crystal structure of Li2ScRu (GGA-PBE).

Calculated values
Crystal system = tetragonal
Calculated volume = 16.29 Å³/atom
Symmetry = P4/mmm (123)

```
4
Lattice="3.7253 0.0000 0.0000 0.0000 3.7253 0.0000 0.0000 0.0000 4.6940" Properties=species:S:1:pos:R:3 pbc="T T T"
Li 1.8626 1.8626 0.0000
Li 0.0000 0.0000 0.0000
Ru 1.8626 0.0000 2.3470
Sc 0.0000 1.8626 2.3470
```

---

<2>
Entry from Alexandria via LeMat-Bulk: an optimized crystal structure of Li2ScRu (GGA-PBE).

Calculated values
Crystal system = monoclinic
Calculated volume = 16.84 Å³/atom
Symmetry = C2/m (12)

```
4
Lattice="-3.3555 -2.0619 1.7335 4.9012 -2.6228 1.2920 0.6228 0.9447 2.8598" Properties=species:S:1:pos:R:3 pbc="T T T"
Sc 0.7728 -2.3424 1.5128
Li 0.0000 0.0000 0.0000
Li -1.3663 -0.5586 2.2967
Ru 2.7620 -0.8390 2.0759
```

---

<1> comes first in stability; the runner-up is 4.7 kJ/mol of atoms higher.

---

<1>
Entry from Alexandria via LeMat-Bulk: an optimized crystal structure of Li2ScRu (GGA-PBE).

Calculated values
Crystal system = monoclinic
Calculated volume = 17.52 Å³/atom
Symmetry = Pm (6)

```
4
Lattice="3.2508 0.0000 0.0000 0.0000 3.2277 -0.0173 0.0000 3.2107 6.6624" Properties=species:S:1:pos:R:3 pbc="T T T"
Ru 0.0000 3.2148 3.2678
Li 1.6254 1.6056 1.8333
Li 0.0000 3.2306 0.2643
Sc 1.6254 4.8342 4.5849
```

---

<2>
Entry from Alexandria via LeMat-Bulk: an optimized crystal structure of Li2ScRu (GGA-PBE).

Calculated values
Crystal system = tetragonal
Calculated volume = 16.09 Å³/atom
Symmetry = I4/mmm (139)

```
4
Lattice="-2.0864 4.1189 -2.6556 -5.1231 -0.0225 -1.4575 2.9497 -0.9069 4.3414" Properties=species:S:1:pos:R:3 pbc="T T T"
Sc -1.3707 2.6301 -0.1854
Li 0.0000 0.0000 0.0000
Li -3.6048 2.0482 -2.0566
Ru -2.8891 0.5594 0.4136
```

---

<1> comes first in stability; the runner-up is 3.2 kJ/mol of atoms higher.

---

<1>
Entry from Alexandria via LeMat-Bulk: an optimized crystal structure of Li2ScRu (GGA-PBE).

Calculated values
Crystal system = tetragonal
Calculated volume = 16.79 Å³/atom
Symmetry = P4/mmm (123)

```
4
Lattice="-0.7092 2.4620 0.7609 -2.5550 -0.7746 0.1249 1.1808 -2.4426 9.0037" Properties=species:S:1:pos:R:3 pbc="T T T"
Li 0.5495 -1.1368 4.1904
Li 0.0408 -0.0845 0.3115
Ru -1.3369 0.2330 2.6939
Sc -0.7465 -0.9883 7.1957
```

---

<2>
Entry from Alexandria via LeMat-Bulk: an optimized crystal structure of Li2ScRu (GGA-PBE).

Calculated values
Crystal system = tetragonal
Calculated volume = 17.22 Å³/atom
Symmetry = I-42d (122)

```
8
Lattice="3.6634 0.0000 0.0000 0.0000 3.6634 0.0000 1.8317 1.8317 10.2637" Properties=species:S:1:pos:R:3 pbc="T T T"
Li 0.7973 0.9159 2.5659
Li 4.5793 2.6291 7.6977
Li 2.8661 2.7476 2.5659
Li 2.7476 4.6978 7.6977
Ru 3.6634 1.8317 5.1318
Ru 0.0000 0.0000 0.0000
Sc 1.8317 3.6634 5.1318
Sc 1.8317 1.8317 0.0000
```

---

<3>
Entry from Alexandria via LeMat-Bulk: an optimized crystal structure of Li2ScRu (GGA-PBE).

Calculated values
Crystal system = orthorhombic
Calculated volume = 16.04 Å³/atom
Symmetry = Pmmm (47)

```
4
Lattice="-1.1294 -2.4396 -0.3598 2.6181 -1.7018 3.3211 -3.6567 1.1785 3.4866" Properties=species:S:1:pos:R:3 pbc="T T T"
Sc -1.9982 -1.1868 4.0955
Ru -0.1698 -1.7761 2.3523
Li -0.1235 0.0398 0.1178
Li -1.7048 0.5495 1.6255
```

---

<2> comes first in stability; the runner-up is 4.3 kJ/mol of atoms higher.

---

<1>
Entry from Alexandria via LeMat-Bulk: an optimized crystal structure of Li2ScRu (GGA-PBE).

Calculated values
Crystal system = orthorhombic
Calculated volume = 18.58 Å³/atom
Symmetry = Cmm2 (35)

```
4
Lattice="-2.6639 0.9732 0.8340 1.1683 -1.8537 1.9845 3.9312 7.0782 4.2972" Properties=species:S:1:pos:R:3 pbc="T T T"
Li 0.0200 0.0360 0.0218
Li 0.3765 1.5841 2.6382
Ru 1.9788 3.5628 2.1630
Sc 2.0259 4.5539 4.4412
```

---

<2>
Entry from Alexandria via LeMat-Bulk: an optimized crystal structure of Li2ScRu (GGA-PBE).

Calculated values
Crystal system = monoclinic
Calculated volume = 16.72 Å³/atom
Symmetry = P2/m (10)

```
4
Lattice="-2.2995 3.2161 3.0978 0.8370 -1.7011 2.3874 3.7940 2.1030 0.6330" Properties=species:S:1:pos:R:3 pbc="T T T"
Sc 2.3235 1.9095 3.8141
Li 0.1432 0.0205 0.0850
Li 2.1723 0.1805 1.4251
Ru 0.0080 1.7085 2.3040
```

---

<3>
Entry from Alexandria via LeMat-Bulk: an optimized crystal structure of Li2ScRu (GGA-PBE).

Calculated values
Crystal system = tetragonal
Calculated volume = 15.60 Å³/atom
Symmetry = P4/mmm (123)

```
4
Lattice="3.4852 0.0000 0.0000 0.0000 3.4852 0.0000 0.0000 0.0000 5.1358" Properties=species:S:1:pos:R:3 pbc="T T T"
Li 0.0000 0.0000 2.3472
Li 0.0000 0.0000 0.2207
Ru 1.7426 1.7426 1.2840
Sc 1.7426 1.7426 3.8519
```

---

<4>
Entry from Alexandria via LeMat-Bulk: an optimized crystal structure of Li2ScRu (GGA-PBE).

Calculated values
Crystal system = trigonal
Calculated volume = 16.69 Å³/atom
Symmetry = R-3m (166)

```
4
Lattice="-8.4251 4.6032 -2.8205 -9.0199 4.3309 -0.1040 -7.5267 6.5182 -0.9948" Properties=species:S:1:pos:R:3 pbc="T T T"
Ru -6.2429 3.8631 -0.9798
Li -24.7186 15.2957 -3.8795
Li -12.7389 7.8827 -1.9994
Sc -18.7288 11.5892 -2.9394
```

---

<2> comes first in stability; the runner-up is 1.3 kJ/mol of atoms higher.